Compound: KMo2F
Source: the Alexandria database
Functional: PBE with a Hubbard U
Structure: optimized geometry

Cell lengths 7.1620, 7.1620, 7.3292 Å; angles 60.75, 60.75, 90.00 degrees
With the nearest neighbours (Å) after each atom.
Element x y z (fractional)
K 0.0000 0.0000 0.0000  12 Mo 4.22-4.36, 4 F 4.45, 4 K 4.45
Mo 0.8750 0.6250 0.7500  2 F 2.23
Mo 0.3750 0.1250 0.2500  2 F 2.23
Mo 0.3750 0.6250 0.2500  2 F 2.23
Mo 0.3750 0.6250 0.7500  2 F 2.23
F 0.5000 0.5000 0.0000  4 Mo 2.23
F 0.2500 0.7500 0.5000  4 Mo 2.23
K 0.7500 0.2500 0.5000  12 Mo 4.22-4.36, 4 F 4.45, 4 K 4.45

E_tot, eV per cell: -29.98
Energy above the lowest structure with this stoichiometry, meV per atom: 0
Density of states at the Fermi level, states/eV/f.u.: 0.93
Total magnetization, μB per formula unit: 8.00